Model P:
{"formula": "ZnSbP2", "functional": "SCAN", "state": "single point on PBEsol structure", "lattice": [[-1.8037, -2.3454, -1.4474], [1.2429, -3.0246, -0.3956], [-3.1665, -3.9600, 6.6149]], "species": ["P", "P", "Sb", "Zn"], "fractional_positions": [[0.7239, 0.7239, 0.8284], [0.0051, 0.0051, 0.9848], [0.5082, 0.5082, 0.4755], [0.2629, 0.2629, 0.2114]], "magmom_total_mub_per_cell": 0.00, "spacegroup": "R3m (160)"}

Model Q:
{"formula": "ZnSbP2", "functional": "SCAN", "state": "single point on PBEsol structure", "lattice": [[-1.9428, -1.2160, 2.4654], [1.7241, -4.1664, -0.6963], [3.3030, 0.8609, 3.0274]], "species": ["P", "Zn", "P", "Sb"], "fractional_positions": [[0.0000, 0.5000, 0.0000], [0.5000, 0.0000, 0.0000], [0.0000, 0.0000, 0.5000], [0.5000, 0.5000, 0.5000]], "magmom_total_mub_per_cell": 0.00, "spacegroup": "P4/mmm (123)"}

List of relative energies, unit meV per atom: model P 0; model Q 425

Model P:
{"formula": "Sc3P", "functional": "SCAN", "state": "single point on PBEsol structure", "lattice": [[-3.3422, -0.8332, -0.8461], [1.3048, -1.5995, -3.5790], [0.5876, -4.7141, 2.3211]], "species": ["Sc", "P", "Sc", "Sc"], "fractional_positions": [[0.5000, 0.0000, 0.4561], [0.0000, 0.0000, 0.0069], [0.5000, 0.5000, 0.8857], [0.0000, 0.5000, 0.3180]], "magmom_total_mub_per_cell": 0.00, "spacegroup": "Pmm2 (25)"}

Model Q:
{"formula": "Sc3P", "functional": "SCAN", "state": "single point on PBEsol structure", "lattice": [[-4.5026, 0.9694, 1.7835], [-1.9723, -3.1163, -3.2853], [0.4805, -3.7072, 3.2281]], "species": ["P", "Sc", "Sc", "Sc"], "fractional_positions": [[0.0000, 0.0000, 0.0000], [0.0000, 0.0000, 0.5000], [0.0000, 0.5000, 0.0000], [0.5000, 0.0000, 0.0000]], "magmom_total_mub_per_cell": 3.82, "spacegroup": "Pm-3m (221)"}

Model R:
{"formula": "Sc3P", "functional": "SCAN", "state": "single point on PBEsol structure", "lattice": [[-1.9319, 2.0393, -3.0764], [-3.6847, -0.8646, 1.7408], [0.2136, 3.5283, 2.2047]], "species": ["P", "Sc", "Sc", "Sc"], "fractional_positions": [[0.0000, 0.0000, 0.0000], [0.5000, 0.0000, 0.5000], [0.5000, 0.5000, 0.0000], [0.0000, 0.5000, 0.5000]], "magmom_total_mub_per_cell": 2.42, "spacegroup": "Pm-3m (221)"}

List of relative energies, unit meV per atom: model P 18; model Q 429; model R 0

Model P:
{"formula": "SrScP", "functional": "SCAN", "state": "single point on PBEsol structure", "lattice": [[4.7007, 0.0000, 0.0000], [2.3503, 4.0709, 0.0000], [2.3503, 1.3570, 3.8381]], "species": ["P", "Sc", "Sr"], "fractional_positions": [[0.2500, 0.2500, 0.2500], [0.0000, 0.0000, 0.0000], [0.5000, 0.5000, 0.5000]], "magmom_total_mub_per_cell": 0.00, "spacegroup": "F-43m (216)"}

Model Q:
{"formula": "SrScP", "functional": "SCAN", "state": "single point on PBEsol structure", "lattice": [[4.8611, 0.0000, 0.0000], [2.4305, 4.2098, 0.0000], [2.4305, 1.4033, 3.9690]], "species": ["Sc", "P", "Sr"], "fractional_positions": [[0.5000, 0.5000, 0.5000], [0.0000, 0.0000, 0.0000], [0.2500, 0.2500, 0.2500]], "magmom_total_mub_per_cell": 2.00, "spacegroup": "F-43m (216)"}

List of relative energies, unit meV per atom: model P 0; model Q 1099

Model P:
{"formula": "ScTaP2", "functional": "SCAN", "state": "single point on PBEsol structure", "lattice": [[3.1154, 0.0000, 0.0000], [1.5577, 2.6980, 0.0000], [1.5577, 0.8993, 7.8892]], "species": ["P", "Ta", "P", "Sc"], "fractional_positions": [[0.7389, 0.7389, 0.7834], [0.2611, 0.2611, 0.2167], [0.0059, 0.0059, 0.9822], [0.4941, 0.4941, 0.5178]], "magmom_total_mub_per_cell": 0.00, "spacegroup": "R3m (160)"}

Model Q:
{"formula": "ScTaP2", "functional": "SCAN", "state": "single point on PBEsol structure", "lattice": [[-3.5859, 1.2031, -0.0047], [-3.1119, -3.3275, 0.5753], [-2.0456, -0.1356, 4.1090]], "species": ["P", "Sc", "Ta", "P"], "fractional_positions": [[0.2481, 0.7519, 0.7519], [0.5000, 0.0000, 0.0000], [0.0000, 0.5000, 0.5000], [0.7519, 0.2481, 0.2481]], "magmom_total_mub_per_cell": 0.00, "spacegroup": "Immm (71)"}

Model R:
{"formula": "ScTaP2", "functional": "SCAN", "state": "single point on PBEsol structure", "lattice": [[3.1367, 0.0000, 0.0000], [0.0000, 4.4348, 0.0000], [0.0000, 0.0000, 4.4348]], "species": ["Sc", "P", "Ta", "P"], "fractional_positions": [[0.5000, 0.5000, 0.5000], [0.0000, 0.5000, 0.0000], [0.5000, 0.0000, 0.0000], [0.0000, 0.0000, 0.5000]], "magmom_total_mub_per_cell": 0.00, "spacegroup": "P4/mmm (123)"}

Model S:
{"formula": "ScTaP2", "functional": "SCAN", "state": "single point on PBEsol structure", "lattice": [[3.5821, 0.0000, 0.0000], [0.0000, 3.5821, 0.0000], [-1.7911, -1.7911, 5.0304]], "species": ["P", "P", "Ta", "Sc"], "fractional_positions": [[0.0000, 0.0000, 0.0000], [0.7500, 0.2500, 0.5000], [0.2500, 0.7500, 0.5000], [0.5000, 0.5000, 0.0000]], "magmom_total_mub_per_cell": 0.00, "spacegroup": "I-4m2 (119)"}

List of relative energies, unit meV per atom: model P 610; model Q 0; model R 78; model S 208